[1]
The following is a DFT calculation (PBE) of BaGaAgAs2 after structural relaxation.

The structure in POSCAR format:
```
BaGaAgAs2
1.0
3.132 -6.972 0.000
3.132 6.972 0.000
0.000 0.000 5.960
Ba Ga Ag As
2 2 2 4
Direct
0.250 0.750 0.750
0.750 0.250 0.250
0.000 0.000 0.000
0.500 0.500 0.000
0.250 0.250 0.500
0.750 0.750 0.500
0.129 0.871 0.250
0.371 0.629 0.250
0.629 0.371 0.750
0.871 0.129 0.750
```

Calculated values
**Formation enthalpy at 0 K**: -0.422 eV per atom


[2]
The following is a DFT calculation (PBE) of BaGaAg2As after structural relaxation.

The structure in POSCAR format:
```
BaGaAg2As
1.0
4.899 0.000 0.000
0.000 4.899 0.000
0.000 0.000 6.219
Ba Ga Ag As
1 1 2 1
Direct
0.000 0.000 0.000
0.000 0.000 0.500
0.000 0.500 0.500
0.500 0.000 0.500
0.500 0.500 0.000
```

Calculated values
**Formation enthalpy at 0 K**: 0.176 eV per atom


[3]
The following is a DFT calculation (PBE) of Ba2AgAsH after structural relaxation.

The structure in POSCAR format:
```
Ba2AgAsH
1.0
5.536 0.000 0.000
0.000 5.536 0.000
0.000 0.000 4.323
Ba Ag As H
2 1 1 1
Direct
0.000 0.500 0.000
0.500 0.000 0.000
0.000 0.000 0.500
0.500 0.500 0.500
0.000 0.000 0.000
```

Calculated values
**DFT total energy**: -17.5 eV for the cell shown


[4]
The following is a DFT calculation (PBE) of BaAg2AsH after structural relaxation.

The structure in POSCAR format:
```
BaAg2AsH
1.0
2.272 -5.873 0.000
2.272 5.873 0.000
0.000 0.000 7.800
Ba Ag As H
2 4 2 2
Direct
0.064 0.936 0.750
0.936 0.064 0.250
0.341 0.659 0.562
0.341 0.659 0.938
0.659 0.341 0.062
0.659 0.341 0.438
0.220 0.780 0.250
0.780 0.220 0.750
0.500 0.500 0.000
0.500 0.500 0.500
```

Calculated values
**DFT total energy**: -35.2 eV for the cell shown


[5]
The following is a DFT calculation (PBE) of Ba2AgHgAs after structural relaxation.

The structure in POSCAR format:
```
Ba2AgHgAs
1.0
6.143 0.000 0.000
0.000 6.143 0.000
0.000 0.000 5.168
Ba Ag Hg As
2 1 1 1
Direct
0.000 0.500 0.000
0.500 0.000 0.000
0.000 0.000 0.000
0.000 0.000 0.500
0.500 0.500 0.500
```

Calculated values
**Formation enthalpy at 0 K**: -0.210 eV per atom


[6]
The following is a DFT calculation (PBE) of Ba2AgAsI after structural relaxation.

The structure in POSCAR format:
```
Ba2AgAsI
1.0
6.422 0.000 0.000
0.000 6.422 0.000
0.000 0.000 4.978
Ba Ag As I
2 1 1 1
Direct
0.000 0.500 0.000
0.500 0.000 0.000
0.000 0.000 0.500
0.000 0.000 0.000
0.500 0.500 0.500
```

Calculated values
**Formation energy from raw total energies**: -0.824 eV per atom


[7]
The following is a DFT calculation (PBE) of Ba8Ag3AsI4 after structural relaxation.

The structure in POSCAR format:
```
Ba8Ag3AsI4
1.0
4.829 2.788 8.759
-4.829 2.788 8.759
0.000 -5.576 8.759
Ba Ag As I
8 3 1 4
Direct
0.239 0.239 0.239
0.245 0.733 0.733
0.267 0.267 0.755
0.267 0.755 0.267
0.733 0.245 0.733
0.733 0.733 0.245
0.755 0.267 0.267
0.761 0.761 0.761
0.000 0.000 0.500
0.000 0.500 0.000
0.500 0.000 0.000
0.500 0.500 0.500
0.000 0.000 0.000
0.000 0.500 0.500
0.500 0.000 0.500
0.500 0.500 0.000
```

Calculated values
**Formation energy from raw total energies**: -0.926 eV per atom


[8]
The following is a DFT calculation (PBE) of Ba6AgAs2I3 after structural relaxation.

The structure in POSCAR format:
```
Ba6AgAs2I3
1.0
4.222 -7.299 0.000
4.222 7.299 0.000
-2.827 0.000 8.419
Ba Ag As I
6 1 2 3
Direct
0.082 0.429 0.789
0.222 0.222 0.211
0.429 0.082 0.789
0.571 0.918 0.211
0.778 0.778 0.789
0.918 0.571 0.211
0.500 0.500 0.000
0.167 0.833 0.000
0.833 0.167 0.000
0.000 0.000 0.500
0.334 0.666 0.500
0.666 0.334 0.500
```

Calculated values
**Formation energy from raw total energies**: -1.206 eV per atom


Number 1: theoretical density 5.930 Mg/m³, total magnetic moment 0.000 μB/atom, D(E_F) 0.056 states/eV per atom. Number 2: theoretical density 5.538 Mg/m³, total magnetic moment 0.000 μB/atom, D(E_F) 0.591 states/eV per atom. Number 3: theoretical density 5.746 Mg/m³, total magnetic moment 0.000 μB/atom, D(E_F) 0.233 states/eV per atom. Number 4: theoretical density 6.843 Mg/m³, total magnetic moment 0.000 μB/atom, D(E_F) 0.052 states/eV per atom. Number 5: theoretical density 5.603 Mg/m³, total magnetic moment 0.000 μB/atom, D(E_F) 0.343 states/eV per atom. Number 6: theoretical density 4.727 Mg/m³, total magnetic moment 0.000 μB/atom, D(E_F) 0.637 states/eV per atom. Number 7: theoretical density 4.704 Mg/m³, total magnetic moment 0.000 μB/atom, D(E_F) 0.786 states/eV per atom. Number 8: theoretical density 4.680 Mg/m³, total magnetic moment 0.151 μB/atom, D(E_F) 0.633 states/eV per atom.